Material: LaZrFe2
Method: DFT, GGA-PBE
State: relaxed

Unit cell a=3.9002 b=3.9002 c=9.9083 alpha=90.00 beta=90.00 gamma=90.00
Closest atoms and distances in Å follow each position.
Space group I-4m2 (No. 119)
One atom of each set of equivalent atoms:
La (0.0000, 0.0000, 0.0000) [2 per cell]  4 Fe 2.76
Zr (0.0000, 0.5000, 0.7500) [2 per cell]  4 Fe 2.76
Fe (0.0000, 0.0000, 0.5000) [2 per cell]  4 La 2.76
Fe (0.0000, 0.5000, 0.2500) [2 per cell]  4 Zr 2.76

Computed properties:
The raw total energy is -7.21 eV per atom. The density of states at the Fermi level comes out at 1.136 states/eV per atom. Its energy of formation is 0.3906 eV per atom.

Material: AcGe2P2Pt7
Method: DFT, GGA-PBE
State: relaxed

Unit cell a=5.7373 b=5.6720 c=14.5928 alpha=90.00 beta=96.12 gamma=90.00
Closest atoms and distances in Å follow each position.
Space group C2/m (No. 12)
One atom of each set of equivalent atoms:
Ac (0.0000, 0.0000, 0.0000) [2 per cell]  4 Pt 2.84-2.87
Ge (0.1501, 0.0000, 0.4309) [4 per cell]  2 Pt 2.51-2.62, 1 Ge 2.79
P (0.0742, 0.5000, 0.2554) [4 per cell]  5 Pt 2.29-2.36
Pt (0.0000, 0.5000, 0.0000) [2 per cell]  4 Ac 2.84-2.87
Pt (0.0806, 0.5000, 0.4124) [4 per cell]  1 P 2.29, 1 Ge 2.51
Pt (0.1995, 0.2506, 0.8294) [8 per cell]  2 P 2.36

Computed properties:
The raw total energy is -6.00 eV per atom. The density of states at the Fermi level comes out at 0.448 states/eV per atom. Its energy of formation is -0.4598 eV per atom.

Material: K2USbTe5
Method: DFT, GGA-PBE
State: relaxed

Unit cell a=4.6501 b=19.6085 c=15.3845 alpha=90.00 beta=90.00 gamma=90.00
Closest atoms and distances in Å follow each position.
Space group Cmc2_1 (No. 36)
One atom of each set of equivalent atoms:
K (0.0000, 0.1090, 0.0000) [4 per cell]  6 Te 3.50-3.66
K (0.0000, 0.1362, 0.6431) [4 per cell]  7 Te 3.54-3.76
U (0.0000, 0.2098, 0.3585) [4 per cell]  6 Te 2.88-3.13
Sb (0.0000, 0.4629, 0.7614) [4 per cell]  4 Te 2.80-3.09
Te (0.0000, 0.0569, 0.3915) [4 per cell]  1 U 3.04, 2 Sb 3.09
Te (0.0000, 0.2872, 0.9839) [4 per cell]  2 U 3.02
Te (0.0000, 0.3162, 0.7265) [4 per cell]  1 Sb 2.93, 2 U 3.13
Te (0.0000, 0.3541, 0.3223) [4 per cell]  1 U 2.88
Te (0.0000, 0.4930, 0.0884) [4 per cell]  1 Sb 2.80

Computed properties:
The raw total energy is -4.29 eV per atom. The density of states at the Fermi level comes out at 0.653 states/eV per atom.

Material: Pt2Rh
Method: DFT, GGA-PBE
State: relaxed

Unit cell a=3.9228 b=11.8306 c=3.9232 alpha=90.00 beta=90.00 gamma=90.00
Closest atoms and distances in Å follow each position.
Space group Cmcm (No. 63)
One atom of each set of equivalent atoms:
Pt (0.0000, 0.0821, 0.2500) [4 per cell]  6 Rh 2.76-2.77, 6 Pt 2.76-2.79
Pt (0.0000, 0.2503, 0.7500) [4 per cell]  8 Pt 2.77-2.79, 4 Rh 2.79-2.80
Rh (0.0000, 0.4185, 0.2500) [4 per cell]  2 Rh 2.75, 10 Pt 2.76-2.80

Computed properties:
The raw total energy is -6.50 eV per atom. The density of states at the Fermi level comes out at 2.119 states/eV per atom. Its energy of formation is -0.0173 eV per atom.